[1]
Compound: YZnPd
Source: Alexandria via LeMat-Bulk
Functional: meta-GGA SCAN
Structure: PBEsol geometry

ΔH_f (0 K) (eV per atom): -0.83
Final energy (eV per cell): -229.85

```
YZnPd
1.0
3.820 0.000 0.000
0.000 7.168 0.000
0.000 -3.584 6.208
Y Zn Pd
3 3 3
Direct
0.500 0.000 0.404
0.500 0.596 0.596
0.500 0.404 0.000
0.000 0.000 0.749
0.000 0.749 0.000
0.000 0.251 0.251
0.000 0.667 0.333
0.000 0.333 0.667
0.500 0.000 0.000
```

[2]
Compound: CdPt5
Source: Alexandria via LeMat-Bulk
Functional: meta-GGA SCAN
Structure: PBEsol geometry

ΔH_f (0 K) (eV per atom): 0.07
Final energy (eV per cell): -380.94

```
CdPt5
1.0
-4.303 -1.720 -2.355
-1.274 -5.033 0.267
-4.092 -1.498 2.834
Cd Pt
1 5
Direct
0.000 0.000 0.000
0.375 0.375 0.375
0.750 0.750 0.750
0.874 0.375 0.375
0.375 0.874 0.375
0.375 0.375 0.874
```

[3]
Compound: MnCo
Source: Alexandria via LeMat-Bulk
Functional: meta-GGA SCAN
Structure: PBEsol geometry

ΔH_f (0 K) (eV per atom): -0.21
Final energy (eV per cell): -35.97

```
MnCo
1.0
2.808 0.000 0.000
0.000 2.808 0.000
0.000 0.000 2.808
Mn Co
1 1
Direct
0.500 0.500 0.500
0.000 0.000 0.000
```

[4]
Compound: HgRh
Source: Alexandria via LeMat-Bulk
Functional: meta-GGA SCAN
Structure: PBEsol geometry

ΔH_f (0 K) (eV per atom): 0.27
Final energy (eV per cell): -202.81

```
HgRh
1.0
-0.790 1.297 -2.505
0.055 -2.923 0.181
-8.489 0.005 2.681
Hg Rh
2 2
Direct
0.000 0.000 0.000
0.000 0.000 0.500
0.667 0.333 0.750
0.333 0.667 0.250
```

> Number 3 is which compound?

MnCo